ScBe2Ni: optimized geometry, PBE.

Output
E_form: -0.246 eV per atom
M_tot: 0.0 μB per formula unit
ΔE to the lowest computed polymorph: 0.036 eV/atom

```
data_ScBe2Ni
_chemical_formula_sum 'Sc2 Be4 Ni2'
_symmetry_space_group_name_H-M 'C 1 m 1'
_symmetry_Int_Tables_number 8
_symmetry_space_group_name_Hall 'C -2y'
_cell_length_a 6.4891
_cell_length_b 3.7369
_cell_length_c 4.8644
_cell_angle_alpha 90.00
_cell_angle_beta 116.03
_cell_angle_gamma 90.00
loop_
_atom_site_label
_atom_site_fract_x
_atom_site_fract_y
_atom_site_fract_z
Sc1 0.0000 0.0000 0.0000
Be1 0.0062 0.5000 0.5200
Be2 0.3055 0.5000 0.4176
Ni1 0.1929 0.0000 0.5802
```



Pr8YHo3: optimized geometry, PBE.

Output
E_form: 0.345 eV per atom
M_tot: 0.0 μB per formula unit

```
data_Pr8YHo3
_chemical_formula_sum 'Pr16 Y2 Ho6'
_symmetry_space_group_name_H-M 'I 2 2 2'
_symmetry_Int_Tables_number 23
_symmetry_space_group_name_Hall 'I 2 2'
_cell_length_a 6.6836
_cell_length_b 11.2747
_cell_length_c 11.8661
_cell_angle_alpha 90.00
_cell_angle_beta 90.00
_cell_angle_gamma 90.00
loop_
_atom_site_label
_atom_site_fract_x
_atom_site_fract_y
_atom_site_fract_z
Pr1 0.0004 0.1606 0.2498
Pr2 0.2480 0.2532 0.4782
Y1 0.0000 0.0000 0.5000
Ho1 0.0000 0.0000 0.0000
Ho2 0.0000 0.5000 0.2533
```



Rb2BeRePd: optimized geometry, PBE.

Output
E_form: 1.625 eV per atom
M_tot: 3.0 μB per formula unit

```
data_Rb2BeRePd
_chemical_formula_sum 'Rb2 Be1 Re1 Pd1'
_symmetry_space_group_name_H-M 'P 4/m m m'
_symmetry_Int_Tables_number 123
_symmetry_space_group_name_Hall '-P 4 2'
_cell_length_a 6.5689
_cell_length_b 6.5689
_cell_length_c 4.8664
_cell_angle_alpha 90.00
_cell_angle_beta 90.00
_cell_angle_gamma 90.00
loop_
_atom_site_label
_atom_site_fract_x
_atom_site_fract_y
_atom_site_fract_z
Rb1 0.0000 0.5000 0.0000
Be1 0.0000 0.0000 0.5000
Re1 0.5000 0.5000 0.5000
Pd1 0.5000 0.5000 0.0000
```



LiPuNpSe3: optimized geometry, PBE.

Output
Formation energy (no corrections): -1.260 eV per atom
M_tot: 10.0 μB per formula unit

```
data_LiPuNpSe3
_chemical_formula_sum 'Li2 Pu2 Np2 Se6'
_symmetry_space_group_name_H-M 'P 1 21/m 1'
_symmetry_Int_Tables_number 11
_symmetry_space_group_name_Hall '-P 2yb'
_cell_length_a 8.4660
_cell_length_b 4.0146
_cell_length_c 8.7912
_cell_angle_alpha 90.00
_cell_angle_beta 102.40
_cell_angle_gamma 90.00
loop_
_atom_site_label
_atom_site_fract_x
_atom_site_fract_y
_atom_site_fract_z
Li1 0.0859 0.2500 0.0799
Pu1 0.1768 0.2500 0.7181
Np1 0.3340 0.7500 0.3341
Se1 0.0963 0.2500 0.3665
Se2 0.2219 0.7500 0.9941
Se3 0.4228 0.7500 0.6721
```



LaGa2Pt2: optimized geometry, PBE.

Output
E_form: -0.970 eV per atom
M_tot: 0.0 μB per formula unit

```
data_LaGa2Pt2
_chemical_formula_sum 'La2 Ga4 Pt4'
_symmetry_space_group_name_H-M 'I 4/m m m'
_symmetry_Int_Tables_number 139
_symmetry_space_group_name_Hall '-I 4 2'
_cell_length_a 4.2931
_cell_length_b 4.2931
_cell_length_c 11.0574
_cell_angle_alpha 90.00
_cell_angle_beta 90.00
_cell_angle_gamma 90.00
loop_
_atom_site_label
_atom_site_fract_x
_atom_site_fract_y
_atom_site_fract_z
La1 0.0000 0.0000 0.0000
Ga1 0.0000 0.5000 0.2500
Pt1 0.0000 0.0000 0.3771
```



PrHgSe2: optimized geometry, PBE.

Output
Formation energy (no corrections): -1.024 eV per atom
M_tot: 0.0 μB per formula unit
ΔE to the lowest computed polymorph: 0.000 eV/atom

```
data_PrHgSe2
_chemical_formula_sum 'Pr3 Hg3 Se6'
_symmetry_space_group_name_H-M 'R 3 m'
_symmetry_Int_Tables_number 160
_symmetry_space_group_name_Hall 'R 3 -2"'
_cell_length_a 4.3537
_cell_length_b 4.3537
_cell_length_c 21.7698
_cell_angle_alpha 90.00
_cell_angle_beta 90.00
_cell_angle_gamma 120.00
loop_
_atom_site_label
_atom_site_fract_x
_atom_site_fract_y
_atom_site_fract_z
Pr1 0.0000 0.0000 0.0000
Hg1 0.0000 0.0000 0.1664
Se1 0.0000 0.0000 0.4060
Se2 0.0000 0.0000 0.5901
```



NiMoP: optimized geometry, PBE.

Output
E_form: 0.005 eV per atom
M_tot: 0.0 μB per formula unit

```
data_NiMoP
_chemical_formula_sum 'Ni1 Mo1 P1'
_symmetry_space_group_name_H-M 'P 3 m 1'
_symmetry_Int_Tables_number 156
_symmetry_space_group_name_Hall 'P 3 -2"'
_cell_length_a 2.7968
_cell_length_b 2.7968
_cell_length_c 5.8548
_cell_angle_alpha 90.00
_cell_angle_beta 90.00
_cell_angle_gamma 120.00
loop_
_atom_site_label
_atom_site_fract_x
_atom_site_fract_y
_atom_site_fract_z
Ni1 0.0000 0.0000 0.0000
Mo1 0.3333 0.6667 0.6304
P1 0.6667 0.3333 0.2892
```



La7InBr12: optimized geometry, PBE.

Output
Formation energy (no corrections): -1.651 eV per atom
M_tot: 1.9 μB per formula unit

```
data_La7InBr12
_chemical_formula_sum 'La21 In3 Br36'
_symmetry_space_group_name_H-M 'R -3'
_symmetry_Int_Tables_number 148
_symmetry_space_group_name_Hall '-R 3'
_cell_length_a 16.2449
_cell_length_b 16.2449
_cell_length_c 9.5872
_cell_angle_alpha 90.00
_cell_angle_beta 90.00
_cell_angle_gamma 120.00
loop_
_atom_site_label
_atom_site_fract_x
_atom_site_fract_y
_atom_site_fract_z
La1 0.0000 0.0000 0.0000
La2 0.0432 0.1711 0.3048
In1 0.0000 0.0000 0.5000
Br1 0.0386 0.5862 0.1635
Br2 0.0479 0.1889 0.8506
```



TlReAg: optimized geometry, PBE.

Output
E_form: 0.825 eV per atom
M_tot: 0.0 μB per formula unit
ΔE to the lowest computed polymorph: 0.000 eV/atom

```
data_TlReAg
_chemical_formula_sum 'Tl1 Re1 Ag1'
_symmetry_space_group_name_H-M 'P 3 m 1'
_symmetry_Int_Tables_number 156
_symmetry_space_group_name_Hall 'P 3 -2"'
_cell_length_a 2.9527
_cell_length_b 2.9527
_cell_length_c 7.4784
_cell_angle_alpha 90.00
_cell_angle_beta 90.00
_cell_angle_gamma 120.00
loop_
_atom_site_label
_atom_site_fract_x
_atom_site_fract_y
_atom_site_fract_z
Tl1 0.0000 0.0000 0.0000
Re1 0.3333 0.6667 0.6635
Ag1 0.6667 0.3333 0.3549
```



Sr2ErMnS5: optimized geometry, PBE.

Output
Formation energy (no corrections): -1.660 eV per atom
M_tot: 4.0 μB per formula unit

```
data_Sr2ErMnS5
_chemical_formula_sum 'Sr8 Er4 Mn4 S20'
_symmetry_space_group_name_H-M 'C m c 21'
_symmetry_Int_Tables_number 36
_symmetry_space_group_name_Hall 'C 2c -2'
_cell_length_a 3.9940
_cell_length_b 17.5209
_cell_length_c 12.3317
_cell_angle_alpha 90.00
_cell_angle_beta 90.00
_cell_angle_gamma 90.00
loop_
_atom_site_label
_atom_site_fract_x
_atom_site_fract_y
_atom_site_fract_z
Sr1 0.0000 0.1203 0.0000
Sr2 0.0000 0.1241 0.6461
Er1 0.0000 0.2018 0.3434
Mn1 0.0000 0.4445 0.7446
S1 0.0000 0.0395 0.3357
S2 0.0000 0.2987 0.9891
S3 0.0000 0.3176 0.6884
S4 0.0000 0.3504 0.3235
S5 0.0000 0.5000 0.0823
```



Na2AlCuO4: optimized geometry, PBE.

Output
Formation energy (no corrections): -1.492 eV per atom
M_tot: 2.0 μB per formula unit

```
data_Na2AlCuO4
_chemical_formula_sum 'Na4 Al2 Cu2 O8'
_symmetry_space_group_name_H-M 'I -4 2 m'
_symmetry_Int_Tables_number 121
_symmetry_space_group_name_Hall 'I -4 2'
_cell_length_a 5.9682
_cell_length_b 5.9682
_cell_length_c 5.3485
_cell_angle_alpha 90.00
_cell_angle_beta 90.00
_cell_angle_gamma 90.00
loop_
_atom_site_label
_atom_site_fract_x
_atom_site_fract_y
_atom_site_fract_z
Na1 0.0000 0.5000 0.0000
Al1 0.0000 0.0000 0.0000
Cu1 0.0000 0.0000 0.5000
O1 0.1535 0.1535 0.2309
```



Mg2TcHg: optimized geometry, PBE.

Output
E_form: 0.225 eV per atom
M_tot: 0.7 μB per formula unit

```
data_Mg2TcHg
_chemical_formula_sum 'Mg4 Tc2 Hg2'
_symmetry_space_group_name_H-M 'I m m m'
_symmetry_Int_Tables_number 71
_symmetry_space_group_name_Hall '-I 2 2'
_cell_length_a 3.2635
_cell_length_b 4.7931
_cell_length_c 9.2757
_cell_angle_alpha 90.00
_cell_angle_beta 90.00
_cell_angle_gamma 90.00
loop_
_atom_site_label
_atom_site_fract_x
_atom_site_fract_y
_atom_site_fract_z
Mg1 0.0000 0.0000 0.2429
Tc1 0.0000 0.5000 0.5000
Hg1 0.0000 0.5000 0.0000
```